Model a:
VASP calculation (PBE-GGA) on a relaxed structure of HPb3Au.

POSCAR file:
```
HPb3Au
1.0
5.589 0.000 0.000
0.000 5.589 0.000
0.000 0.000 5.589
H Au Pb
1 1 3
Direct
0.500 0.500 0.500
0.000 0.000 0.000
0.000 0.500 0.000
0.000 0.000 0.500
0.500 0.000 0.000
```

Values from the calculation:
M_tot (Bohr magnetons per cell): 0.0



Model b:
VASP calculation (PBE-GGA) on a relaxed structure of HPb3Au.

POSCAR file:
```
HPb3Au
1.0
6.075 0.375 -0.183
2.944 5.417 -0.353
0.273 -0.093 7.471
Pb H Au
6 2 2
Direct
0.917 0.893 0.377
0.763 0.798 0.882
0.451 0.407 0.677
0.606 0.502 0.172
0.095 0.079 0.842
0.273 0.221 0.213
0.998 0.711 0.128
0.370 0.589 0.926
0.416 0.857 0.499
0.952 0.443 0.555
```

Values from the calculation:
M_tot (Bohr magnetons per cell): 0.0



Here is how they stack up, most stable first: model b, model a.



Model a:
VASP calculation (PBE-GGA) on a relaxed structure of H3PbAu.

POSCAR file:
```
H3PbAu
1.0
4.108 0.000 0.000
0.000 4.108 0.000
0.000 0.000 4.108
H Au Pb
3 1 1
Direct
0.000 0.000 0.500
0.000 0.500 0.000
0.500 0.000 0.000
0.500 0.500 0.500
0.000 0.000 0.000
```

Values from the calculation:
M_tot (Bohr magnetons per cell): 0.0



Model b:
VASP calculation (PBE-GGA) on a relaxed structure of H3PbAu.

POSCAR file:
```
H3PbAu
1.0
-3.475 1.786 -0.495
-1.273 -1.537 3.396
1.347 3.156 1.933
H Au Pb
3 1 1
Direct
0.500 0.000 0.000
0.000 0.500 0.000
0.000 0.000 0.500
0.000 0.000 0.000
0.500 0.500 0.500
```

Values from the calculation:
M_tot (Bohr magnetons per cell): 0.0



Here is how they stack up, most stable first: model b, model a.



Model a:
VASP calculation (PBE-GGA) on a relaxed structure of HRhPb2Au.

POSCAR file:
```
HRhPb2Au
1.0
-1.975 -3.657 3.443
-0.887 -3.388 -4.107
3.162 -1.323 0.408
H Rh Pb Au
1 1 2 1
Direct
0.000 0.000 0.500
0.000 0.000 0.000
0.000 0.500 0.000
0.500 0.000 0.000
0.500 0.500 0.500
```

Values from the calculation:
M_tot (Bohr magnetons per cell): 0.0



Model b:
VASP calculation (PBE-GGA) on a relaxed structure of HRhPb2Au.

POSCAR file:
```
HRhPb2Au
1.0
5.231 0.000 0.000
0.000 5.231 0.000
0.000 0.000 3.429
H Au Rh Pb
1 1 1 2
Direct
0.000 0.000 0.000
0.500 0.500 0.500
0.000 0.000 0.500
0.500 0.000 0.000
0.000 0.500 0.000
```

Values from the calculation:
M_tot (Bohr magnetons per cell): 0.0



Here is how they stack up, most stable first: model b, model a.



Model a:
VASP calculation (PBE-GGA) on a relaxed structure of SbHPb2Au.

POSCAR file:
```
SbHPb2Au
1.0
5.759 0.000 0.000
0.000 5.759 0.000
0.000 0.000 3.525
H Pb Sb Au
1 2 1 1
Direct
0.000 0.000 0.000
0.000 0.500 0.000
0.500 0.000 0.000
0.500 0.500 0.500
0.000 0.000 0.500
```

Values from the calculation:
M_tot (Bohr magnetons per cell): 0.0



Model b:
VASP calculation (PBE-GGA) on a relaxed structure of SbHPb2Au.

POSCAR file:
```
SbHPb2Au
1.0
-3.745 -4.008 -2.134
0.632 -3.199 4.900
-2.663 1.711 1.461
Au Sb Pb H
1 1 2 1
Direct
0.000 0.000 0.000
0.500 0.500 0.500
0.500 0.000 0.000
0.000 0.500 0.000
0.000 0.000 0.500
```

Values from the calculation:
M_tot (Bohr magnetons per cell): 0.0



Here is how they stack up, most stable first: model b, model a.



Model a:
VASP calculation (PBE-GGA) on a relaxed structure of HPd3Au.

POSCAR file:
```
HPd3Au
1.0
17.770 0.000 -2.245
0.000 4.767 0.000
-6.444 0.000 4.018
Au H Pd
4 4 12
Direct
0.022 0.250 0.936
0.478 0.750 0.564
0.522 0.250 0.436
0.978 0.750 0.064
0.886 0.624 0.296
0.114 0.376 0.704
0.386 0.876 0.796
0.614 0.124 0.204
0.721 0.755 0.792
0.279 0.245 0.208
0.851 0.755 0.439
0.894 0.241 0.307
0.221 0.745 0.292
0.394 0.259 0.807
0.351 0.745 0.939
0.649 0.255 0.061
0.606 0.741 0.193
0.149 0.245 0.561
0.779 0.255 0.708
0.106 0.759 0.693
```

Values from the calculation:
M_tot (Bohr magnetons per cell): 0.0



Model b:
VASP calculation (PBE-GGA) on a relaxed structure of HPd3Au.

POSCAR file:
```
HPd3Au
1.0
-1.903 -2.090 6.668
-1.415 -2.241 -6.740
4.003 -3.070 0.180
Pd Au H
6 2 2
Direct
0.000 0.000 0.000
0.906 0.602 0.750
0.602 0.906 0.250
0.398 0.094 0.750
0.000 0.000 0.500
0.094 0.398 0.250
0.823 0.177 0.750
0.177 0.823 0.250
0.579 0.421 0.750
0.421 0.579 0.250
```

Values from the calculation:
M_tot (Bohr magnetons per cell): 0.0



Here is how they stack up, most stable first: model a, model b.



Model a:
VASP calculation (PBE-GGA) on a relaxed structure of HPd3Au.

POSCAR file:
```
HPd3Au
1.0
-7.404 20.206 4.607
-3.071 -1.901 3.402
4.073 -6.138 0.247
Pd H Au
12 4 4
Direct
0.313 0.918 0.001
0.437 0.084 0.997
0.937 0.416 0.497
0.438 0.415 0.500
0.187 0.418 0.499
0.563 0.916 0.003
0.062 0.915 0.000
0.063 0.584 0.503
0.813 0.582 0.501
0.687 0.082 0.999
0.562 0.585 0.500
0.938 0.085 0.000
0.962 0.247 0.799
0.038 0.753 0.201
0.538 0.747 0.701
0.462 0.253 0.299
0.312 0.588 0.499
0.688 0.412 0.501
0.812 0.912 0.999
0.188 0.088 0.001
```

Values from the calculation:
M_tot (Bohr magnetons per cell): 0.0



Model b:
VASP calculation (PBE-GGA) on a relaxed structure of HPd3Au.

POSCAR file:
```
HPd3Au
1.0
-2.775 3.092 3.502
-2.435 -4.165 -2.500
1.477 -3.330 4.110
H Au Pd
2 2 6
Direct
0.866 0.134 0.750
0.134 0.866 0.250
0.509 0.491 0.250
0.491 0.509 0.750
0.993 0.514 0.750
0.486 0.007 0.750
0.000 0.000 0.000
0.514 0.993 0.250
0.007 0.486 0.250
0.000 0.000 0.500
```

Values from the calculation:
M_tot (Bohr magnetons per cell): 0.0



Here is how they stack up, most stable first: model a, model b.



Model a:
VASP calculation (PBE-GGA) on a relaxed structure of HPd3Au.

POSCAR file:
```
HPd3Au
1.0
5.040 0.000 0.153
0.000 5.673 0.000
-2.006 0.000 4.618
Pd Au H
6 2 2
Direct
0.251 0.499 0.749
0.749 0.501 0.251
0.749 0.999 0.251
0.251 0.001 0.749
0.257 0.250 0.245
0.743 0.750 0.755
0.745 0.250 0.756
0.255 0.750 0.244
0.003 0.250 0.414
0.997 0.750 0.586
```

Values from the calculation:
M_tot (Bohr magnetons per cell): 0.0



Model b:
VASP calculation (PBE-GGA) on a relaxed structure of HPd3Au.

POSCAR file:
```
HPd3Au
1.0
5.332 0.000 0.000
0.000 5.332 0.000
2.666 2.666 5.027
Au H Pd
2 2 6
Direct
0.615 0.115 0.769
0.885 0.385 0.231
0.000 0.000 0.000
0.250 0.750 0.500
0.127 0.878 0.746
0.624 0.873 0.254
0.127 0.376 0.746
0.122 0.873 0.254
0.631 0.631 0.738
0.369 0.369 0.262
```

Values from the calculation:
M_tot (Bohr magnetons per cell): 0.0



Model c:
VASP calculation (PBE-GGA) on a relaxed structure of HPd3Au.

POSCAR file:
```
HPd3Au
1.0
4.859 0.000 0.000
0.000 4.859 0.000
2.430 2.430 9.495
Au H Pd
2 2 6
Direct
0.250 0.750 0.500
0.000 0.000 0.000
0.770 0.270 0.460
0.730 0.230 0.540
0.661 0.661 0.679
0.627 0.876 0.248
0.339 0.339 0.321
0.124 0.875 0.752
0.125 0.876 0.248
0.124 0.373 0.752
```

Values from the calculation:
M_tot (Bohr magnetons per cell): 0.0



Here is how they stack up, most stable first: model a, model b, model c.



Model a:
VASP calculation (PBE-GGA) on a relaxed structure of HPd3Au2.

POSCAR file:
```
HPd3Au2
1.0
-2.422 1.190 -1.126
-1.803 -3.665 0.056
-0.343 2.544 7.147
Au Pd H
2 3 1
Direct
0.735 0.782 0.478
0.131 0.179 0.270
0.536 0.586 0.078
0.935 0.960 0.874
0.330 0.381 0.669
0.439 0.226 0.874
```

Values from the calculation:
M_tot (Bohr magnetons per cell): 0.0



Model b:
VASP calculation (PBE-GGA) on a relaxed structure of HPd3Au2.

POSCAR file:
```
HPd3Au2
1.0
-3.253 3.676 1.462
-4.702 -1.613 2.566
1.692 2.236 7.042
Au Pd H
4 6 2
Direct
0.141 0.717 0.500
0.500 0.000 0.500
0.859 0.283 0.500
0.000 0.000 0.000
0.625 0.000 0.816
0.020 0.429 0.810
0.551 0.429 0.190
0.980 0.571 0.190
0.449 0.571 0.810
0.375 0.000 0.184
0.309 0.382 0.000
0.691 0.618 0.000
```

Values from the calculation:
M_tot (Bohr magnetons per cell): 0.0



Here is how they stack up, most stable first: model a, model b.



Model a:
VASP calculation (PBE-GGA) on a relaxed structure of H2Pd6Au.

POSCAR file:
```
H2Pd6Au
1.0
2.791 0.000 0.000
1.396 4.674 0.288
1.396 2.486 9.326
H Pd Au
2 6 1
Direct
0.876 0.058 0.191
0.124 0.942 0.809
0.648 0.771 0.933
0.352 0.229 0.067
0.066 0.667 0.201
0.934 0.333 0.799
0.755 0.127 0.362
0.245 0.873 0.638
0.000 0.500 0.500
```

Values from the calculation:
M_tot (Bohr magnetons per cell): 0.0



Model b:
VASP calculation (PBE-GGA) on a relaxed structure of H2Pd6Au.

POSCAR file:
```
H2Pd6Au
1.0
5.364 -0.685 1.334
0.974 9.265 0.885
0.294 0.374 4.834
H Pd Au
4 12 2
Direct
0.189 0.303 0.252
0.811 0.697 0.748
0.253 0.545 0.975
0.747 0.455 0.025
0.631 0.146 0.475
0.716 0.703 0.134
0.781 0.294 0.876
0.872 0.865 0.509
0.923 0.427 0.302
0.369 0.854 0.525
0.077 0.573 0.698
0.284 0.297 0.866
0.219 0.706 0.124
0.573 0.571 0.702
0.427 0.429 0.298
0.128 0.135 0.491
0.252 0.001 0.999
0.748 0.999 0.001
```

Values from the calculation:
M_tot (Bohr magnetons per cell): 0.0



Here is how they stack up, most stable first: model a, model b.



Model a:
VASP calculation (PBE-GGA) on a relaxed structure of H2PdAu.

POSCAR file:
```
H2PdAu
1.0
-0.121 2.963 -3.136
-4.300 0.168 0.324
-1.855 4.803 1.640
H Pd Au
4 2 2
Direct
0.375 0.407 0.750
0.593 0.125 0.250
0.875 0.843 0.750
0.157 0.625 0.250
0.500 0.500 0.000
0.250 0.750 0.500
0.000 0.000 0.000
0.750 0.250 0.500
```

Values from the calculation:
M_tot (Bohr magnetons per cell): 0.0



Model b:
VASP calculation (PBE-GGA) on a relaxed structure of H2PdAu.

POSCAR file:
```
H2PdAu
1.0
2.872 0.000 0.000
1.436 2.487 0.000
1.436 0.829 6.070
Pd H Au
1 2 1
Direct
0.668 0.668 0.997
0.290 0.290 0.130
0.045 0.045 0.865
0.497 0.497 0.508
```

Values from the calculation:
M_tot (Bohr magnetons per cell): 0.0



Here is how they stack up, most stable first: model a, model b.



Model a:
VASP calculation (PBE-GGA) on a relaxed structure of H2PdAu.

POSCAR file:
```
H2PdAu
1.0
2.996 0.000 0.000
1.498 2.595 0.000
1.498 0.865 5.307
H Pd Au
2 1 1
Direct
0.884 0.884 0.349
0.116 0.116 0.651
0.500 0.500 0.500
0.000 0.000 0.000
```

Values from the calculation:
M_tot (Bohr magnetons per cell): 0.0



Model b:
VASP calculation (PBE-GGA) on a relaxed structure of H2PdAu.

POSCAR file:
```
H2PdAu
1.0
0.000 2.734 2.734
2.734 0.000 2.734
2.734 2.734 0.000
Au Pd H
1 1 2
Direct
0.500 0.500 0.500
0.000 0.000 0.000
0.250 0.250 0.250
0.750 0.750 0.750
```

Values from the calculation:
M_tot (Bohr magnetons per cell): 0.0



Here is how they stack up, most stable first: model a, model b.